! TaVCd PBE relaxed; values from VASP
! - Calculated volume: 213 Å³ per cell
! - E: -85.23 eV per cell
! - E_form: 193 meV per atom
! - Relative energy among the computed polymorphs: 0.46 kcal/mol of atoms
&SYSTEM
  ibrav = 0, nat = 12, ntyp = 3
/
ATOMIC_SPECIES
Cd 112.41 Cd.upf
V 50.94 V.upf
Ta 180.95 Ta.upf
CELL_PARAMETERS angstrom
6.996 0.000 -0.001
0.000 3.207 0.000
-3.376 0.000 9.503
ATOMIC_POSITIONS angstrom
Cd -1.482 1.603 6.289
Cd -1.458 1.603 9.312
Cd 0.230 0.000 4.561
Cd 0.206 0.000 1.537
V 2.304 1.603 9.139
V 3.993 0.000 4.388
V 5.295 1.603 3.025
V 3.607 0.000 7.777
Ta 0.701 0.000 7.815
Ta 3.979 0.000 1.375
Ta 2.290 1.603 6.126
Ta 2.389 1.603 3.063

***

! TaVCd PBE relaxed; values from VASP
! - Calculated volume: 105 Å³ per cell
! - E: -42.15 eV per cell
! - E_form: 271 meV per atom
! - Relative energy among the computed polymorphs: 2.27 kcal/mol of atoms
&SYSTEM
  ibrav = 0, nat = 6, ntyp = 3
/
ATOMIC_SPECIES
V 50.94 V.upf
Ta 180.95 Ta.upf
Cd 112.41 Cd.upf
CELL_PARAMETERS angstrom
4.734 0.000 0.001
0.000 3.119 0.000
-2.325 0.000 7.127
ATOMIC_POSITIONS angstrom
V 2.200 1.559 5.129
V 2.225 0.000 6.932
Ta -0.168 0.000 4.994
Ta 2.186 0.000 3.105
Cd -0.181 1.559 2.308
Cd 2.186 1.559 0.429

***

! TaV3Cd PBE relaxed; values from VASP
! - Calculated volume: 108 Å³ per cell
! - E: -29.83 eV per cell
! - E_form: 2059 meV per atom
! - Relative energy among the computed polymorphs: 16.00 kcal/mol of atoms
&SYSTEM
  ibrav = 0, nat = 5, ntyp = 3
/
ATOMIC_SPECIES
Ta 180.95 Ta.upf
Cd 112.41 Cd.upf
V 50.94 V.upf
CELL_PARAMETERS angstrom
4.763 0.000 0.000
0.000 4.763 0.000
0.000 0.000 4.763
ATOMIC_POSITIONS angstrom
Ta 2.382 2.382 2.382
Cd 0.000 0.000 0.000
V 0.000 2.382 0.000
V 0.000 0.000 2.382
V 2.382 0.000 0.000

***

! TaVCd PBE relaxed; values from VASP
! - Calculated volume: 213 Å³ per cell
! - E: -85.27 eV per cell
! - E_form: 190 meV per atom
! - Relative energy among the computed polymorphs: 0.40 kcal/mol of atoms
&SYSTEM
  ibrav = 0, nat = 12, ntyp = 3
/
ATOMIC_SPECIES
V 50.94 V.upf
Ta 180.95 Ta.upf
Cd 112.41 Cd.upf
CELL_PARAMETERS angstrom
-6.241 0.296 -1.857
0.141 -3.140 -0.976
0.092 -3.076 9.913
ATOMIC_POSITIONS angstrom
V -1.683 -2.990 9.379
V -1.659 -3.022 3.935
V -4.465 0.210 -1.323
V -4.348 -2.898 3.146
Ta -3.511 -1.840 5.414
Ta -2.637 -0.940 2.642
Ta -2.520 -4.048 7.111
Ta -3.487 -1.872 -0.030
Cd -5.726 -0.783 1.691
Cd -0.398 -2.029 0.921
Cd -5.609 -3.891 6.160
Cd -0.422 -1.997 6.365

***

! TaVCd PBE relaxed; values from VASP
! - Calculated volume: 106 Å³ per cell
! - E: -42.43 eV per cell
! - E_form: 223 meV per atom
! - Relative energy among the computed polymorphs: 1.16 kcal/mol of atoms
&SYSTEM
  ibrav = 0, nat = 6, ntyp = 3
/
ATOMIC_SPECIES
Ta 180.95 Ta.upf
Cd 112.41 Cd.upf
V 50.94 V.upf
CELL_PARAMETERS angstrom
-1.539 -2.109 1.122
0.999 -2.679 -3.664
6.753 -2.414 3.607
ATOMIC_POSITIONS angstrom
Ta 3.601 -3.269 0.424
Ta 0.931 -2.831 2.324
Cd 3.640 -3.315 3.416
Cd 5.198 -5.447 2.452
V 1.111 -3.117 -0.366
V -0.056 -0.853 0.608

***

! Ta2VCd PBE relaxed; values from VASP
! - Calculated volume: 153 Å³ per cell
! - E: -60.93 eV per cell
! - E_form: 818 meV per atom
&SYSTEM
  ibrav = 0, nat = 8, ntyp = 3
/
ATOMIC_SPECIES
Ta 180.95 Ta.upf
Cd 112.41 Cd.upf
V 50.94 V.upf
CELL_PARAMETERS angstrom
3.920 0.000 0.000
0.000 3.920 0.000
1.960 1.960 9.933
ATOMIC_POSITIONS angstrom
Ta 2.940 2.984 7.450
Ta 4.900 4.856 7.450
Ta 2.896 0.980 2.483
Ta 1.024 2.940 2.483
Cd 3.920 1.960 4.967
Cd 0.000 0.000 0.000
V 1.960 3.920 4.967
V 1.960 1.960 0.000

***

! TaVCd3 PBE relaxed; values from VASP
! - Calculated volume: 129 Å³ per cell
! - E: -15.92 eV per cell
! - E_form: 1559 meV per atom
! - Relative energy among the computed polymorphs: 0.00 kcal/mol of atoms
&SYSTEM
  ibrav = 0, nat = 5, ntyp = 3
/
ATOMIC_SPECIES
Cd 112.41 Cd.upf
V 50.94 V.upf
Ta 180.95 Ta.upf
CELL_PARAMETERS angstrom
5.047 0.000 0.000
0.000 5.047 0.000
0.000 0.000 5.047
ATOMIC_POSITIONS angstrom
Cd 0.000 2.524 0.000
Cd 2.524 0.000 0.000
Cd 0.000 0.000 2.524
V 0.000 0.000 0.000
Ta 2.524 2.524 2.524

***

! TaVCd PBE relaxed; values from VASP
! - Calculated volume: 209 Å³ per cell
! - E: -85.47 eV per cell
! - E_form: 173 meV per atom
! - Relative energy among the computed polymorphs: 0.00 kcal/mol of atoms
&SYSTEM
  ibrav = 0, nat = 12, ntyp = 3
/
ATOMIC_SPECIES
V 50.94 V.upf
Cd 112.41 Cd.upf
Ta 180.95 Ta.upf
CELL_PARAMETERS angstrom
3.373 0.000 0.000
0.000 14.009 0.000
0.000 0.000 4.424
ATOMIC_POSITIONS angstrom
V 0.000 5.990 1.106
V 1.687 1.014 3.318
V 1.687 12.995 1.106
V 0.000 8.019 3.318
Cd 0.000 10.620 1.106
Cd 1.687 10.394 3.318
Cd 1.687 3.615 1.106
Cd 0.000 3.389 3.318
Ta 0.000 1.065 1.106
Ta 1.687 5.939 3.318
Ta 1.687 8.070 1.106
Ta 0.000 12.944 3.318

***

! TaVCd PBE relaxed; values from VASP
! - Calculated volume: 106 Å³ per cell
! - E: -42.58 eV per cell
! - E_form: 199 meV per atom
! - Relative energy among the computed polymorphs: 0.60 kcal/mol of atoms
&SYSTEM
  ibrav = 0, nat = 6, ntyp = 3
/
ATOMIC_SPECIES
Cd 112.41 Cd.upf
Ta 180.95 Ta.upf
V 50.94 V.upf
CELL_PARAMETERS angstrom
2.825 0.001 -0.002
1.263 5.362 0.000
0.978 1.349 6.988
ATOMIC_POSITIONS angstrom
Cd 0.631 2.681 0.000
Cd 1.413 0.001 -0.001
Ta 2.462 1.388 2.433
Ta 2.604 5.325 4.553
V 1.568 3.973 2.513
V 3.498 2.739 4.473

***

! Ta3VCd PBE relaxed; values from VASP
! - Calculated volume: 102 Å³ per cell
! - E: -40.12 eV per cell
! - E_form: 1095 meV per atom
! - Relative energy among the computed polymorphs: 0.00 kcal/mol of atoms
&SYSTEM
  ibrav = 0, nat = 5, ntyp = 3
/
ATOMIC_SPECIES
V 50.94 V.upf
Ta 180.95 Ta.upf
Cd 112.41 Cd.upf
CELL_PARAMETERS angstrom
4.679 0.000 0.000
0.000 4.679 0.000
0.000 0.000 4.679
ATOMIC_POSITIONS angstrom
V 0.000 0.000 0.000
Ta 0.000 0.000 2.339
Ta 0.000 2.339 0.000
Ta 2.339 0.000 0.000
Cd 2.339 2.339 2.339

***

! TaVCd2 PBE relaxed; values from VASP
! - Calculated volume: 156 Å³ per cell
! - E: -38.59 eV per cell
! - E_form: 876 meV per atom
! - Relative energy among the computed polymorphs: 6.15 kcal/mol of atoms
&SYSTEM
  ibrav = 0, nat = 8, ntyp = 3
/
ATOMIC_SPECIES
Cd 112.41 Cd.upf
V 50.94 V.upf
Ta 180.95 Ta.upf
CELL_PARAMETERS angstrom
7.617 0.000 0.000
0.000 7.617 0.000
3.808 3.808 2.692
ATOMIC_POSITIONS angstrom
Cd 5.712 5.832 2.019
Cd 2.024 5.712 0.673
Cd 9.521 9.401 2.019
Cd 5.592 1.904 0.673
V 3.808 7.617 1.346
V 3.808 3.808 0.000
Ta 0.000 0.000 0.000
Ta 7.617 3.808 1.346

***

! TaVCd2 PBE relaxed; values from VASP
! - Calculated volume: 74 Å³ per cell
! - E: -20.36 eV per cell
! - E_form: 609 meV per atom
! - Relative energy among the computed polymorphs: 0.00 kcal/mol of atoms
&SYSTEM
  ibrav = 0, nat = 4, ntyp = 3
/
ATOMIC_SPECIES
V 50.94 V.upf
Ta 180.95 Ta.upf
Cd 112.41 Cd.upf
CELL_PARAMETERS angstrom
-3.479 -3.183 0.160
-4.103 1.091 2.059
-3.872 0.603 -2.628
ATOMIC_POSITIONS angstrom
V 0.000 0.000 0.000
Ta -5.727 -0.745 -0.205
Cd -8.590 -1.117 -0.307
Cd -2.863 -0.372 -0.102